# PaTc2Pt PBE optimized geometry
data_PaTc2Pt
_chemical_formula_sum 'Pa3 Tc6 Pt3'
_cell_length_a 4.5356
_cell_length_b 4.5356
_cell_length_c 11.9764
_cell_angle_alpha 90.00
_cell_angle_beta 90.00
_cell_angle_gamma 120.00
_space_group_name_H-M_alt 'R -3 m'
_space_group_IT_number 166
_space_group_name_Hall '-R 3 2"'
loop_
_atom_site_label
_atom_site_type_symbol
_atom_site_fract_x
_atom_site_fract_y
_atom_site_fract_z
Pa1 Pa 0.0000 0.0000 0.0000
Tc1 Tc 0.0000 0.0000 0.2775
Pt1 Pt 0.0000 0.0000 0.5000
# - ΔE_f (meV/atom) = -125
# - polymorph energy (0 for the lowest one) (meV/atom) = 285.6
# - VASP energy (eV per atom) = -9.19
# - density of states at the Fermi level (states/eV/cell) = 14.1